Entry 1:
# Mn2OsPb, single point on PBEsol structure, DFT meta-GGA SCAN
data_Mn2OsPb
_chemical_formula_sum 'Mn2 Os1 Pb1'
_symmetry_space_group_name_H-M 'P 4/m m m'
_symmetry_Int_Tables_number 123
_symmetry_space_group_name_Hall '-P 4 2'
_cell_length_a 3.907
_cell_length_b 3.907
_cell_length_c 3.932
_cell_angle_alpha 90.00
_cell_angle_beta 90.00
_cell_angle_gamma 90.00
loop_
_atom_site_label
_atom_site_type_symbol
_atom_site_fract_x
_atom_site_fract_y
_atom_site_fract_z
_atom_site_occupancy
Mn1 Mn 0.000 0.500 0.000 1
Os1 Os 0.000 0.000 0.500 1
Pb1 Pb 0.500 0.500 0.500 1
# Total energy ... -183.0 eV per cell
# ΔH_f (0 K) ... 0.295 eV/atom
# D(E_F) ... 0.6425 states/eV/atom

***

Entry 2:
# Mn2OsPb, single point on PBEsol structure, DFT meta-GGA SCAN
data_Mn2OsPb
_chemical_formula_sum 'Mn2 Os1 Pb1'
_symmetry_space_group_name_H-M 'P 4/m m m'
_symmetry_Int_Tables_number 123
_symmetry_space_group_name_Hall '-P 4 2'
_cell_length_a 2.929
_cell_length_b 2.929
_cell_length_c 7.636
_cell_angle_alpha 90.00
_cell_angle_beta 90.00
_cell_angle_gamma 90.00
loop_
_atom_site_label
_atom_site_type_symbol
_atom_site_fract_x
_atom_site_fract_y
_atom_site_fract_z
_atom_site_occupancy
Mn1 Mn 0.000 0.000 0.203 1
Os1 Os 0.500 0.500 0.000 1
Pb1 Pb 0.500 0.500 0.500 1
# Total energy ... -183.6 eV per cell
# ΔH_f (0 K) ... 0.132 eV/atom
# D(E_F) ... 0.5173 states/eV/atom

***

Entry 3:
# Mn2OsPb, single point on PBEsol structure, DFT meta-GGA SCAN
data_Mn2OsPb
_chemical_formula_sum 'Mn6 Os3 Pb3'
_symmetry_space_group_name_H-M 'R -3 m'
_symmetry_Int_Tables_number 166
_symmetry_space_group_name_Hall '-R 3 2"'
_cell_length_a 2.9726
_cell_length_b 2.9726
_cell_length_c 25.9346
_cell_angle_alpha 90.00
_cell_angle_beta 90.00
_cell_angle_gamma 120.00
loop_
_atom_site_label
_atom_site_type_symbol
_atom_site_fract_x
_atom_site_fract_y
_atom_site_fract_z
_atom_site_occupancy
Mn1 Mn 0.0000 0.0000 0.2406 1
Os1 Os 0.0000 0.0000 0.5000 1
Pb1 Pb 0.0000 0.0000 0.0000 1
# Total energy ... -549.0 eV per cell
# ΔH_f (0 K) ... 0.294 eV/atom
# D(E_F) ... 0.3423 states/eV/atom

***

Entry 4:
# Mn2OsPb, single point on PBEsol structure, DFT meta-GGA SCAN
data_Mn2OsPb
_chemical_formula_sum 'Mn4 Os2 Pb2'
_symmetry_space_group_name_H-M 'I 4/m m m'
_symmetry_Int_Tables_number 139
_symmetry_space_group_name_Hall '-I 4 2'
_cell_length_a 4.040
_cell_length_b 4.040
_cell_length_c 7.405
_cell_angle_alpha 90.00
_cell_angle_beta 90.00
_cell_angle_gamma 90.00
loop_
_atom_site_label
_atom_site_type_symbol
_atom_site_fract_x
_atom_site_fract_y
_atom_site_fract_z
_atom_site_occupancy
Mn1 Mn 0.000 0.500 0.250 1
Os1 Os 0.000 0.000 0.000 1
Pb1 Pb 0.000 0.000 0.500 1
# Total energy ... -365.4 eV per cell
# ΔH_f (0 K) ... 0.374 eV/atom
# D(E_F) ... 0.9973 states/eV/atom